VASP calculation (PBE with a Hubbard U) on a geometry-optimized NaTaFe2O6 structure.

Unit cell a=5.2156 b=5.2119 c=5.6163 alpha=62.25 beta=62.24 gamma=60.14
Last column: nearest neighbours and their distance in Å.
Fractional positions:
Fe 0.5192 0.5178 0.4451  6 O 2.03-2.10
Fe 0.0135 0.0095 0.9653  6 O 1.93-2.09
O 0.7265 0.1711 0.7555  2 Fe 1.95-2.09, 1 Ta 2.04
O 0.6065 0.2512 0.2254  1 Ta 1.97, 2 Fe 2.03-2.09
O 0.2519 0.9166 0.2222  1 Ta 1.97, 2 Fe 2.04-2.07
O 0.3476 0.7264 0.7541  2 Fe 1.94-2.08, 1 Ta 2.05
O 0.9173 0.6103 0.2228  1 Ta 1.98, 2 Fe 2.03-2.06
O 0.1665 0.3479 0.7580  2 Fe 1.93-2.10, 1 Ta 2.05
Ta 0.3167 0.3149 0.0540  6 O 1.97-2.05
Na 0.7959 0.7959 0.6127  6 O 2.25-2.49

Calculated values
Calculated total energy = -0.5309 Ry per atom
Volume = 11.159 A^3/atom
M_tot = 6.0 Bohr magnetons per cell